# Zn2SbW (GGA-PBE, optimized geometry)
data_Zn2SbW
_chemical_formula_sum 'Zn8 Sb4 W4'
_cell_length_a 7.574
_cell_length_b 7.574
_cell_length_c 5.346
_cell_angle_alpha 90.00
_cell_angle_beta 90.00
_cell_angle_gamma 90.00
_space_group_name_H-M_alt 'I -4 2 d'
_space_group_IT_number 122
_space_group_name_Hall 'I -4 2bw'
loop_
_atom_site_label
_atom_site_type_symbol
_atom_site_fract_x
_atom_site_fract_y
_atom_site_fract_z
Zn1 Zn 0.231 0.250 0.125
Sb1 Sb 0.000 0.000 0.500
W1 W 0.000 0.000 0.000
# Spin magnetization, μB/f.u.: 0.49
# D(E_F), states/eV per cell: 15.354
# Formation energy (no corrections), eV per atom: 0.78